Computed, not measured: a crystal of Cu2BPt2 relaxed with PBEsol at the SCAN level of DFT.

a b c (Å): 5.5493 5.5493 4.2373
angles (deg): 90.00 90.00 90.00
With the nearest neighbours (Å) after each atom.
Space group P4/mbm (No. 127)
One atom of each set of equivalent atoms:
Cu (0.1542, 0.3458, 0.0000) (multiplicity 4)  1 Cu 2.42, 2 Pt 2.55
B (0.0000, 0.0000, 0.5000) (multiplicity 2)  4 Pt 2.07
Pt (0.1647, 0.6647, 0.5000) (multiplicity 4)  2 B 2.07

* E_form: -0.1936 eV per atom

***

Computed, not measured: a crystal of CuB2Pt relaxed with PBEsol at the SCAN level of DFT.

a b c (Å): 4.7177 4.7177 9.2773
angles (deg): 90.00 90.00 90.00
With the nearest neighbours (Å) after each atom.
Space group I-42d (No. 122)
One atom of each set of equivalent atoms:
Cu (0.0000, 0.0000, 0.0000) (multiplicity 4)  4 B 2.04
B (0.2481, 0.2500, 0.6250) (multiplicity 8)  2 Pt 2.03, 2 Cu 2.04
Pt (0.0000, 0.0000, 0.5000) (multiplicity 4)  4 B 2.03

* E_form: 0.5092 eV per atom

***

Computed, not measured: a crystal of CuBPt2 relaxed with PBEsol at the SCAN level of DFT.

a b c (Å): 6.3996 6.3996 5.0614
angles (deg): 90.00 90.00 90.00
With the nearest neighbours (Å) after each atom.
Space group I-42d (No. 122)
One atom of each set of equivalent atoms:
Cu (0.0000, 0.0000, 0.0000) (multiplicity 4)  2 B 2.53, 8 Pt 2.71-2.72
B (0.0000, 0.0000, 0.5000) (multiplicity 4)  4 Pt 2.04
Pt (0.1716, 0.7500, 0.6250) (multiplicity 8)  2 B 2.04

* E_form: -0.1719 eV per atom

***

Computed, not measured: a crystal of Cu2BRuRh relaxed with PBEsol at the SCAN level of DFT.

a b c (Å): 3.9197 3.9197 3.9463
angles (deg): 90.00 90.00 90.00
With the nearest neighbours (Å) after each atom.
Space group P4/mmm (No. 123)
One atom of each set of equivalent atoms:
Cu (0.0000, 0.5000, 0.0000) (multiplicity 2)  2 B 1.96
B (0.0000, 0.0000, 0.0000) (multiplicity 1)  4 Cu 1.96, 2 Rh 1.97
Ru (0.5000, 0.5000, 0.5000) (multiplicity 1)  4 Rh 2.77, 8 Cu 2.78
Rh (0.0000, 0.0000, 0.5000) (multiplicity 1)  2 B 1.97

* E_form: 0.4244 eV per atom

***

Computed, not measured: a crystal of CuBRh2Se relaxed with PBEsol at the SCAN level of DFT.

a b c (Å): 4.5111 4.5111 4.3197
angles (deg): 90.00 90.00 90.00
With the nearest neighbours (Å) after each atom.
Space group P4/mmm (No. 123)
One atom of each set of equivalent atoms:
Cu (0.0000, 0.0000, 0.0000) (multiplicity 1)  2 Se 2.16
B (0.5000, 0.5000, 0.0000) (multiplicity 1)  8 Rh 3.12, 4 Cu 3.19
Rh (0.0000, 0.5000, 0.5000) (multiplicity 2)  2 Se 2.26
Se (0.0000, 0.0000, 0.5000) (multiplicity 1)  2 Cu 2.16, 4 Rh 2.26

* raw formation energy: 1.397 eV per atom

***

Computed, not measured: a crystal of TiCu2BRh relaxed with PBEsol at the SCAN level of DFT.

a b c (Å): 4.3524 4.3524 3.8817
angles (deg): 90.00 90.00 90.00
With the nearest neighbours (Å) after each atom.
Space group P4/mmm (No. 123)
One atom of each set of equivalent atoms:
Ti (0.0000, 0.0000, 0.0000) (multiplicity 1)  2 B 1.94
Cu (0.0000, 0.5000, 0.0000) (multiplicity 2)  2 Ti 2.18
B (0.0000, 0.0000, 0.5000) (multiplicity 1)  2 Ti 1.94
Rh (0.5000, 0.5000, 0.5000) (multiplicity 1)  8 Cu 2.92, 4 B 3.08

* E_form: 1.5416 eV per atom

***

Computed, not measured: a crystal of Cu3BRu relaxed with PBEsol at the SCAN level of DFT.

a b c (Å): 3.8608 3.8608 3.8608
angles (deg): 90.00 90.00 90.00
With the nearest neighbours (Å) after each atom.
Space group Pm-3m (No. 221)
One atom of each set of equivalent atoms:
Cu (0.0000, 0.0000, 0.5000) (multiplicity 3)  2 B 1.93
B (0.0000, 0.0000, 0.0000) (multiplicity 1)  6 Cu 1.93
Ru (0.5000, 0.5000, 0.5000) (multiplicity 1)  12 Cu 2.73

* E_form: 0.5262 eV per atom

***

Computed, not measured: a crystal of CuBTeRu2 relaxed with PBEsol at the SCAN level of DFT.

a b c (Å): 4.6167 4.6167 3.5752
angles (deg): 90.00 90.00 90.00
With the nearest neighbours (Å) after each atom.
Space group P4/mmm (No. 123)
One atom of each set of equivalent atoms:
Cu (0.0000, 0.0000, 0.0000) (multiplicity 1)  2 B 1.79
B (0.0000, 0.0000, 0.5000) (multiplicity 1)  2 Cu 1.79
Te (0.5000, 0.5000, 0.5000) (multiplicity 1)  8 Ru 2.92, 4 B 3.26
Ru (0.0000, 0.5000, 0.0000) (multiplicity 2)  2 Cu 2.31

* raw formation energy: 1.174 eV per atom

***

Computed, not measured: a crystal of Cu2BSb relaxed with PBEsol at the SCAN level of DFT.

a b c (Å): 6.0846 6.0846 6.0846
angles (deg): 90.00 90.00 90.00
With the nearest neighbours (Å) after each atom.
Space group Fm-3m (No. 225)
One atom of each set of equivalent atoms:
Cu (0.2500, 0.2500, 0.2500) (multiplicity 8)  4 Sb 2.63, 4 B 2.63
B (0.0000, 0.0000, 0.0000) (multiplicity 4)  8 Cu 2.63
Sb (0.0000, 0.0000, 0.5000) (multiplicity 4)  8 Cu 2.63

* raw formation energy: 0.973 eV per atom

***

Computed, not measured: a crystal of TaCuB3 relaxed with PBEsol at the SCAN level of DFT.

a b c (Å): 3.7461 3.7461 3.7461
angles (deg): 90.00 90.00 90.00
With the nearest neighbours (Å) after each atom.
Space group Pm-3m (No. 221)
One atom of each set of equivalent atoms:
Ta (0.0000, 0.0000, 0.0000) (multiplicity 1)  12 B 2.65
Cu (0.5000, 0.5000, 0.5000) (multiplicity 1)  6 B 1.87
B (0.0000, 0.5000, 0.5000) (multiplicity 3)  2 Cu 1.87

* E_form: 1.3652 eV per atom

***

Computed, not measured: a crystal of CuTcB3 relaxed with PBEsol at the SCAN level of DFT.

a b c (Å): 4.0028 4.0028 4.0028
angles (deg): 90.00 90.00 90.00
With the nearest neighbours (Å) after each atom.
Space group Pm-3m (No. 221)
One atom of each set of equivalent atoms:
Cu (0.0000, 0.0000, 0.0000) (multiplicity 1)  12 B 2.83
Tc (0.5000, 0.5000, 0.5000) (multiplicity 1)  6 B 2.00
B (0.0000, 0.5000, 0.5000) (multiplicity 3)  2 Tc 2.00

* E_form: 1.2268 eV per atom

***

Computed, not measured: a crystal of Cu3BTe relaxed with PBEsol at the SCAN level of DFT.

a b c (Å): 4.7523 4.7523 4.7523
angles (deg): 90.00 90.00 90.00
With the nearest neighbours (Å) after each atom.
Space group Pm-3m (No. 221)
One atom of each set of equivalent atoms:
Cu (0.0000, 0.0000, 0.5000) (multiplicity 3)  2 Te 2.38
B (0.5000, 0.5000, 0.5000) (multiplicity 1)  12 Cu 3.36
Te (0.0000, 0.0000, 0.0000) (multiplicity 1)  6 Cu 2.38

* raw formation energy: 1.626 eV per atom

***

What DOS at the Fermi energy values result from the calculations? In sequence: 0.9; 1.3; 1.2; 2.9; 4.6; 2.7; 1.8; 4.4; 1.2; 2.3; 1.7; 2.9 states/eV/f.u..
What raw total energy values result from the calculations? In sequence: -35.836; -24.554; -40.926; -20.861; -20.653; -15.984; -17.045; -24.733; -17.799; -19.449; -13.283; -16.429 eV/atom.